(1)
Sr2FeBr | PBE | optimized geometry

Lattice parameters (Å, degrees): 8.261 8.261 7.183 54.90 54.90 90.00
Atoms (fractional coordinates):
Br 0.000 0.000 0.000
Sr 0.622 0.125 0.250
Sr 0.375 0.378 0.750
Sr 0.128 0.625 0.250
Fe 0.250 0.750 0.500
Fe 0.500 0.500 0.000
Br 0.750 0.250 0.500
Sr 0.875 0.872 0.750

Results
Space-group type: I-42d (122)
Crystal system: tetragonal
Distance to the lowest polymorph of the same formula, meV per atom: 252



(2)
LaHoSc2 | PBE | optimized geometry

Lattice parameters (Å, degrees): 3.464 3.464 11.000 89.97 89.97 60.04
Atoms (fractional coordinates):
La 0.500 0.500 0.000
Sc 0.166 0.166 0.254
Sc 0.834 0.834 0.746
Ho 0.500 0.500 0.500

Results
Space-group type: P-3m1 (164)
Crystal system: trigonal
Distance to the lowest polymorph of the same formula, meV per atom: 0
Formation enthalpy at 0 K, eV per atom: 0.06



(3)
Be2RuCl | PBE | optimized geometry

Lattice parameters (Å, degrees): 2.795 2.795 9.157 90.00 90.00 118.95
Atoms (fractional coordinates):
Be 0.500 0.500 0.241
Be 0.000 0.000 0.028
Cl 0.000 0.000 0.395
Ru 0.500 0.500 0.836

Results
Space-group type: Cmm2 (35)
Crystal system: orthorhombic
Distance to the lowest polymorph of the same formula, meV per atom: 456



(4)
Ho2Er3Te6 | PBE | optimized geometry

Lattice parameters (Å, degrees): 4.340 4.340 21.461 84.20 84.20 60.00
Atoms (fractional coordinates):
Er 0.721 0.721 0.838
Te 0.361 0.361 0.918
Ho 0.553 0.553 0.340
Te 0.918 0.918 0.247
Te 0.082 0.082 0.753
Te 0.195 0.195 0.415
Er 0.000 0.000 0.000
Er 0.279 0.279 0.162
Te 0.639 0.639 0.082
Ho 0.447 0.447 0.660
Te 0.805 0.805 0.585

Results
Space-group type: R-3m (166)
Crystal system: trigonal
Distance to the lowest polymorph of the same formula, meV per atom: 88



(5)
AlAs2BrO | PBE | optimized geometry

Lattice parameters (Å, degrees): 4.147 6.457 4.147 90.00 90.00 90.00
Atoms (fractional coordinates):
As 0.000 0.000 0.500
As 0.500 0.000 0.000
O 0.000 0.000 0.000
Al 0.500 0.500 0.500
Br 0.000 0.500 0.000

Results
Space-group type: P4/mmm (123)
Crystal system: tetragonal
Distance to the lowest polymorph of the same formula, meV per atom: 0



(6)
La2Pd2Pt | PBE | optimized geometry

Lattice parameters (Å, degrees): 7.611 7.611 3.982 90.00 90.00 90.00
Atoms (fractional coordinates):
La 0.818 0.318 0.500
La 0.182 0.682 0.500
La 0.318 0.182 0.500
Pd 0.128 0.372 0.000
Pd 0.628 0.128 0.000
Pd 0.872 0.628 0.000
La 0.682 0.818 0.500
Pt 0.000 0.000 0.000
Pt 0.500 0.500 0.000
Pd 0.372 0.872 0.000

Results
Space-group type: P4/mbm (127)
Crystal system: tetragonal
Distance to the lowest polymorph of the same formula, meV per atom: 49
Formation enthalpy at 0 K, eV per atom: -0.87



(7)
KZn2Mo | PBE | optimized geometry

Lattice parameters (Å, degrees): 5.233 5.233 2.708 90.00 90.00 89.99
Atoms (fractional coordinates):
Zn 0.500 0.500 0.000
Mo 0.000 0.500 0.500
K 0.500 0.000 0.500
Zn 0.000 0.000 0.000

Results
Space-group type: P4/mmm (123)
Crystal system: tetragonal
Distance to the lowest polymorph of the same formula, meV per atom: 161
Formation enthalpy at 0 K, eV per atom: 0.58



(8)
NaDy4Hg5 | PBE | optimized geometry

Lattice parameters (Å, degrees): 3.707 3.707 18.784 90.00 90.00 90.00
Atoms (fractional coordinates):
Dy 0.000 0.000 0.799
Hg 0.500 0.500 0.107
Dy 0.000 0.000 0.201
Hg 0.500 0.500 0.302
Hg 0.500 0.500 0.893
Dy 0.000 0.000 0.600
Hg 0.500 0.500 0.500
Dy 0.000 0.000 0.400
Na 0.000 0.000 0.000
Hg 0.500 0.500 0.698

Results
Space-group type: P4/mmm (123)
Crystal system: tetragonal
Formation enthalpy at 0 K, eV per atom: -0.43



(9)
PmY7Er12 | PBE | optimized geometry

Lattice parameters (Å, degrees): 9.692 9.692 9.692 109.47 109.47 109.47
Atoms (fractional coordinates):
Y 0.500 0.500 0.500
Er 0.000 0.254 0.746
Er 0.746 0.254 0.000
Y 0.500 0.500 0.000
Pm 0.000 0.000 0.000
Er 0.000 0.746 0.254
Er 0.254 0.254 0.508
Er 0.746 0.492 0.746
Er 0.508 0.254 0.254
Y 0.000 0.500 0.000
Y 0.000 0.500 0.500
Y 0.500 0.000 0.000
Er 0.254 0.508 0.254
Er 0.492 0.746 0.746
Er 0.746 0.746 0.492
Y 0.000 0.000 0.500
Er 0.254 0.746 0.000
Y 0.500 0.000 0.500
Er 0.746 0.000 0.254
Er 0.254 0.000 0.746

Results
Space-group type: Im-3m (229)
Crystal system: cubic
Distance to the lowest polymorph of the same formula, meV per atom: 489
Formation enthalpy at 0 K, eV per atom: 0.74



(10)
CuNi2HgN | PBE | optimized geometry

Lattice parameters (Å, degrees): 3.885 3.885 3.962 90.00 90.00 90.00
Atoms (fractional coordinates):
N 0.000 0.000 0.000
Ni 0.500 0.000 0.000
Ni 0.000 0.500 0.000
Cu 0.000 0.000 0.500
Hg 0.500 0.500 0.500

Results
Space-group type: P4/mmm (123)
Crystal system: tetragonal
Electronic total energy, eV/atom: -4.7357



(11)
Ac3SN2 | PBE | optimized geometry

Lattice parameters (Å, degrees): 4.092 7.150 10.680 90.00 90.00 106.63
Atoms (fractional coordinates):
Ac 0.379 0.758 0.931
Ac 0.621 0.242 0.431
Ac 0.621 0.242 0.069
N 0.477 0.955 0.750
N 0.000 0.000 0.000
S 0.754 0.509 0.750
Ac 0.924 0.848 0.250
Ac 0.379 0.758 0.569
S 0.246 0.491 0.250
N 0.000 0.000 0.500
Ac 0.076 0.152 0.750
N 0.523 0.045 0.250

Results
Space-group type: Cmcm (63)
Crystal system: orthorhombic
Distance to the lowest polymorph of the same formula, meV per atom: 33



(12)
LaUTe2N | PBE | optimized geometry

Lattice parameters (Å, degrees): 4.085 4.085 16.895 90.00 90.00 90.00
Atoms (fractional coordinates):
Te 0.500 0.000 0.331
N 0.500 0.500 0.500
La 0.000 0.500 0.853
Te 0.000 0.500 0.669
Te 0.500 0.000 0.923
La 0.500 0.000 0.147
U 0.500 0.000 0.563
Te 0.000 0.500 0.077
U 0.000 0.500 0.437
N 0.000 0.000 0.500

Results
Space-group type: P4/nmm (129)
Crystal system: tetragonal
Electronic total energy, eV/atom: -7.4572